1.
DFT (PBE) results for a relaxed structure of CsKBa2Cu.

Lattice parameters (Å, degrees): 6.4563 6.4563 7.2642 90.00 90.00 90.00
Closest atoms and distances in Å follow each position.
Atoms (fractional coordinates):
K  0.0000  0.0000  0.5000  2 Cu 3.63
Cu  0.0000  0.0000  0.0000  4 Ba 3.23
Ba  0.0000  0.5000  0.0000  2 Cu 3.23
Cs  0.5000  0.5000  0.5000  4 K 4.57, 8 Ba 4.86
Ba  0.5000  0.0000  0.0000  2 Cu 3.23

Output
- polymorph energy (0 for the lowest one) (eV/f.u.) = 0.03
- SG = P4/mmm, No. 123

---

2.
DFT (PBE) results for a relaxed structure of LaNiOs3.

Lattice parameters (Å, degrees): 4.8031 4.8031 4.8031 90.00 90.00 90.00
Closest atoms and distances in Å follow each position.
Atoms (fractional coordinates):
Ni  0.5000  0.5000  0.5000  12 Os 3.40
Os  0.0000  0.0000  0.5000  2 La 2.40
La  0.0000  0.0000  0.0000  6 Os 2.40
Os  0.5000  0.0000  0.0000  2 La 2.40
Os  0.0000  0.5000  0.0000  2 La 2.40

Output
- polymorph energy (0 for the lowest one) (eV/f.u.) = 10.25
- SG = Pm-3m, No. 221

---

3.
DFT (PBE) results for a relaxed structure of Tb6Er3ZrSc2.

Lattice parameters (Å, degrees): 5.9996 5.9996 11.4342 95.00 95.00 119.93
Closest atoms and distances in Å follow each position.
Atoms (fractional coordinates):
Tb  0.0802  0.4103  0.2402  1 Zr 3.35, 2 Sc 3.37, 6 Tb 3.43-3.49, 3 Er 3.54-3.56
Zr  0.0000  0.0000  0.0000  6 Tb 3.34-3.35, 6 Sc 3.46-3.47
Er  0.5000  0.5000  0.5000  6 Er 3.46-3.47, 6 Tb 3.54-3.56
Tb  0.4103  0.0802  0.2402  1 Zr 3.35, 2 Sc 3.37, 6 Tb 3.43-3.49, 3 Er 3.54-3.56
Tb  0.2497  0.2497  0.7604  1 Zr 3.34, 2 Sc 3.37, 6 Tb 3.43-3.49, 3 Er 3.54-3.56
Er  0.8334  0.1666  0.5000  6 Er 3.46-3.47, 6 Tb 3.54-3.56
Tb  0.9198  0.5897  0.7598  1 Zr 3.35, 2 Sc 3.37, 6 Tb 3.43-3.49, 3 Er 3.54-3.56
Sc  0.6668  0.3332  0.0000  6 Tb 3.37, 3 Zr 3.46-3.47, 3 Sc 3.46-3.47
Er  0.1666  0.8334  0.5000  6 Er 3.46-3.47, 6 Tb 3.54-3.56
Tb  0.7503  0.7503  0.2396  1 Zr 3.34, 2 Sc 3.37, 6 Tb 3.43-3.49, 3 Er 3.54-3.56
Tb  0.5897  0.9198  0.7598  1 Zr 3.35, 2 Sc 3.37, 6 Tb 3.43-3.49, 3 Er 3.54-3.56
Sc  0.3332  0.6668  0.0000  6 Tb 3.37, 3 Zr 3.46-3.47, 3 Sc 3.46-3.47

Output
- SG = C2/m, No. 12

---

Looking at magnetization for the records above, in order, we have 0.0; 0.0; 0.0 μB/f.u..
Looking at energy of formation for the records above, in order, we have 140; 3170; 56 meV/atom.